# 1
## AlCuRu (GGA-PBE)

Data for a relaxed structure of AlCuRu.

## Properties
energy of formation from the pure elements: -0.58 eV/f.u.
space-group type: I4mm (107)
N(E_F): 3.3 states/eV/cell
energy relative to the lowest polymorph listed for this composition: 167.3 meV per atom
M_tot: 0.00 μB per formula unit

abc: 4.9031 4.9031 4.9031
angles: 144.29 144.25 51.43
Last column: nearest neighbours and their distance in Å.
Positions (direct):
Ru 0.3388 0.3388 0.0000  4 Al 2.56, 5 Cu 2.64-2.86
Al 0.9993 0.9993 0.0000  4 Ru 2.56, 4 Cu 2.57
Cu 0.6620 0.6620 0.0000  4 Al 2.57, 5 Ru 2.64-2.86


# 2
## AlCuRu (GGA-PBE)

Data for a relaxed structure of AlCuRu.

## Properties
energy of formation from the pure elements: -0.58 eV/f.u.
space-group type: Cm (8)
N(E_F): 9.2 states/eV/cell
energy relative to the lowest polymorph listed for this composition: 167.1 meV per atom
M_tot: 0.00 μB per formula unit

abc: 5.2891 3.8477 8.3731
angles: 90.00 107.91 90.00
Last column: nearest neighbours and their distance in Å.
Positions (direct):
Ru 0.1600 0.0000 0.6646  3 Ru 2.59-2.74, 5 Al 2.59-2.67, 4 Cu 2.72-2.75
Ru 0.1600 0.5000 0.1646  3 Ru 2.59-2.74, 5 Al 2.59-2.67, 4 Cu 2.72-2.75
Ru 0.3306 0.0000 0.9894  3 Ru 2.59-2.74, 4 Al 2.60-2.62, 5 Cu 2.63-2.76
Ru 0.3306 0.5000 0.4894  3 Ru 2.59-2.74, 4 Al 2.60-2.62, 5 Cu 2.63-2.76
Al 0.0260 0.0000 0.3299  5 Ru 2.59-2.67, 5 Cu 2.64-2.77, 2 Al 2.87
Al 0.0260 0.5000 0.8299  5 Ru 2.59-2.67, 5 Cu 2.64-2.77, 2 Al 2.87
Al 0.6516 0.0000 0.6398  6 Cu 2.55-2.73, 4 Ru 2.62-2.67
Al 0.6516 0.5000 0.1398  6 Cu 2.55-2.73, 4 Ru 2.62-2.67
Cu 0.8304 0.0000 0.9827  2 Cu 2.61, 4 Ru 2.63-2.72, 6 Al 2.66-2.77
Cu 0.8304 0.5000 0.4827  2 Cu 2.61, 4 Ru 2.63-2.72, 6 Al 2.66-2.77
Cu 0.5229 0.0000 0.3207  5 Al 2.55-2.66, 2 Cu 2.61, 5 Ru 2.64-2.76
Cu 0.5229 0.5000 0.8207  5 Al 2.55-2.66, 2 Cu 2.61, 5 Ru 2.64-2.76


# 3
## AlCuRu (GGA-PBE)

Data for a relaxed structure of AlCuRu.

## Properties
energy of formation from the pure elements: -0.94 eV/f.u.
space-group type: P3m1 (156)
N(E_F): 4.5 states/eV/cell
energy relative to the lowest polymorph listed for this composition: 45.5 meV per atom
M_tot: 0.00 μB per formula unit

abc: 4.1971 4.1971 5.1879
angles: 90.00 90.00 120.00
Last column: nearest neighbours and their distance in Å.
Positions (direct):
Ru 0.3333 0.6667 0.0001  3 Cu 2.57, 5 Al 2.57-2.61
Ru 0.6667 0.3333 0.6529  2 Cu 2.53-2.65, 6 Al 2.56-2.60
Al 0.0000 0.0000 0.8356  2 Cu 2.56-2.63, 6 Ru 2.57-2.60
Al 0.3333 0.6667 0.4966  5 Ru 2.56-2.61, 3 Cu 2.57
Cu 0.6667 0.3333 0.1644  5 Ru 2.53-2.65, 3 Cu 2.57
Cu 0.0000 0.0000 0.3291  5 Al 2.56-2.63, 3 Cu 2.57


# 4
## Al3CuRu (GGA-PBE)

Data for a relaxed structure of Al3CuRu.

## Properties
energy of formation from the pure elements: 1.07 eV/f.u.
space-group type: Pm-3m (221)
N(E_F): 2.3 states/eV/cell
energy relative to the lowest polymorph listed for this composition: 0.0 meV per atom
M_tot: 0.00 μB per formula unit

abc: 4.6539 4.6539 4.6539
angles: 90.00 90.00 90.00
Last column: nearest neighbours and their distance in Å.
Positions (direct):
Ru 0.0000 0.0000 0.0000  6 Al 2.33
Al 0.0000 0.5000 0.0000  2 Ru 2.33
Al 0.0000 0.0000 0.5000  2 Ru 2.33
Al 0.5000 0.0000 0.0000  2 Ru 2.33
Cu 0.5000 0.5000 0.5000  12 Al 3.29


# 5
## AlCuRu (GGA-PBE)

Data for a relaxed structure of AlCuRu.

## Properties
energy of formation from the pure elements: -0.57 eV/f.u.
space-group type: P3m1 (156)
N(E_F): 2.2 states/eV/cell
energy relative to the lowest polymorph listed for this composition: 169.8 meV per atom
M_tot: 0.00 μB per formula unit

abc: 4.1307 4.1307 2.7223
angles: 90.00 90.00 120.00
Last column: nearest neighbours and their distance in Å.
Positions (direct):
Ru 0.6667 0.3333 0.6670  2 Ru 2.72, 6 Al 2.74-2.75, 6 Cu 2.74-2.75
Al 0.0000 0.0000 0.1643  3 Cu 2.38
Cu 0.3333 0.6667 0.1687  3 Al 2.38


# 6
## AlCuRu (GGA-PBE)

Data for a relaxed structure of AlCuRu.

## Properties
energy of formation from the pure elements: -0.86 eV/f.u.
space-group type: C2/m (12)
N(E_F): 4.5 states/eV/cell
energy relative to the lowest polymorph listed for this composition: 72.2 meV per atom
M_tot: 0.00 μB per formula unit

abc: 4.1231 2.9848 13.0732
angles: 90.00 91.50 90.00
Last column: nearest neighbours and their distance in Å.
Positions (direct):
Ru 0.4194 0.0000 0.3344  5 Al 2.53-2.65, 3 Cu 2.64-2.81, 2 Ru 2.76
Ru 0.5806 0.0000 0.6656  5 Al 2.53-2.65, 3 Cu 2.64-2.81, 2 Ru 2.76
Ru 0.4194 0.5000 0.8344  5 Al 2.53-2.65, 3 Cu 2.64-2.81, 2 Ru 2.76
Ru 0.5806 0.5000 0.1656  5 Al 2.53-2.65, 3 Cu 2.64-2.81, 2 Ru 2.76
Al 0.9241 0.0000 0.8394  5 Ru 2.53-2.65, 3 Cu 2.59-2.77
Al 0.0759 0.0000 0.1606  5 Ru 2.53-2.65, 3 Cu 2.59-2.77
Al 0.9241 0.5000 0.3394  5 Ru 2.53-2.65, 3 Cu 2.59-2.77
Al 0.0759 0.5000 0.6606  5 Ru 2.53-2.65, 3 Cu 2.59-2.77
Cu 0.5000 0.5000 0.5000  4 Cu 2.55, 4 Ru 2.64, 2 Al 2.77
Cu 0.5000 0.0000 0.0000  4 Cu 2.55, 4 Ru 2.64, 2 Al 2.77
Cu 0.0000 0.5000 0.0000  4 Cu 2.55, 4 Al 2.59, 2 Ru 2.81
Cu 0.0000 0.0000 0.5000  4 Cu 2.55, 4 Al 2.59, 2 Ru 2.81